No. 1
Below is SrAg6Cl8 after structural relaxation, with properties calculated at the PBE level.

Summary:
Its density of states at the Fermi level is 0.00 states/eV per cell. The space-group type is P-3, No. 147.

Lattice parameters (Å, degrees): 4.7751 10.6686 10.6686 120.00 90.00 90.00
With the nearest neighbours (Å) after each atom.
Fractional coordinates of all 15 atoms:
1 Sr 0.5000 0.0000 0.0000  6 Cl 2.98
2 Ag 0.7765 0.8103 0.2129  3 Cl 2.50-2.64
3 Ag 0.7765 0.7871 0.5974  3 Cl 2.50-2.64
4 Ag 0.7765 0.4026 0.1897  3 Cl 2.50-2.64
5 Ag 0.2235 0.1897 0.7871  3 Cl 2.50-2.64
6 Ag 0.2235 0.2129 0.4026  3 Cl 2.50-2.64
7 Ag 0.2235 0.5974 0.8103  3 Cl 2.50-2.64
8 Cl 0.7436 0.0841 0.2885  3 Ag 2.62-2.80
9 Cl 0.7436 0.7115 0.7956  3 Ag 2.62-2.80
10 Cl 0.7436 0.2044 0.9159  3 Ag 2.62-2.80
11 Cl 0.2564 0.9159 0.7115  3 Ag 2.62-2.80
12 Cl 0.2564 0.2885 0.2044  3 Ag 2.62-2.80
13 Cl 0.2564 0.7956 0.0841  3 Ag 2.62-2.80
14 Cl 0.3383 0.3333 0.6667  3 Ag 2.50
15 Cl 0.6617 0.6667 0.3333  3 Ag 2.50


No. 2
Below is Sr2Ag2Cl7 after structural relaxation, with properties calculated at the PBE level.

Summary:
Its density of states at the Fermi level is 10.74 states/eV per cell. The space-group type is Cmmm, No. 65. As for the offset from the most stable computed form: 0.101 eV per atom.

Lattice parameters (Å, degrees): 6.9947 7.0039 6.9947 89.98 81.40 90.02
With the nearest neighbours (Å) after each atom.
Fractional coordinates of all 11 atoms:
1 Sr 0.7162 0.5000 0.7162  6 Cl 2.91-2.92
2 Sr 0.2838 0.5000 0.2838  6 Cl 2.91-2.92
3 Ag 0.7314 0.0000 0.2686  3 Cl 2.45-2.71
4 Ag 0.2686 0.0000 0.7314  3 Cl 2.45-2.71
5 Cl 0.9996 0.2453 0.5005  2 Sr 2.91-2.92, 2 Ag 3.16
6 Cl 0.5005 0.7547 0.9996  2 Sr 2.91-2.92, 2 Ag 3.16
7 Cl 0.0004 0.7547 0.4995  2 Sr 2.91-2.92, 2 Ag 3.16
8 Cl 0.4995 0.2453 0.0004  2 Sr 2.91-2.92, 2 Ag 3.16
9 Cl 0.0000 0.0000 0.0000  2 Ag 2.45
10 Cl 0.5004 0.7590 0.4996  2 Ag 2.70-2.71, 2 Sr 2.92
11 Cl 0.4996 0.2410 0.5004  2 Ag 2.70-2.71, 2 Sr 2.92


No. 3
Below is Sr2AgCl after structural relaxation, with properties calculated at the PBE level.

Summary:
Its density of states at the Fermi level is 3.61 states/eV per cell. The space-group type is P4mm, No. 99. As for the offset from the most stable computed form: 0.036 eV per atom.

Lattice parameters (Å, degrees): 4.5058 4.5058 6.5666 90.00 90.00 90.00
With the nearest neighbours (Å) after each atom.
Fractional coordinates of all 4 atoms:
1 Ag 0.0000 0.0000 0.3751  6 Sr 3.19-3.28
2 Cl 0.5000 0.5000 0.8742  6 Sr 3.19-3.29
3 Sr 0.0000 0.0000 0.8751  4 Cl 3.19, 2 Ag 3.28
4 Sr 0.5000 0.5000 0.3755  4 Ag 3.19, 2 Cl 3.27-3.29


No. 4
Below is SrAgCl after structural relaxation, with properties calculated at the PBE level.

Summary:
Its density of states at the Fermi level is 0.00 states/eV per cell. The space-group type is F-43m, No. 216. As for the offset from the most stable computed form: 0.059 eV per atom.

Lattice parameters (Å, degrees): 5.1922 5.1922 5.1922 60.00 60.00 60.00
With the nearest neighbours (Å) after each atom.
Fractional coordinates of all 3 atoms:
1 Ag 0.0000 0.0000 0.0000  4 Sr 3.18
2 Cl 0.5000 0.5000 0.5000  4 Sr 3.18
3 Sr 0.7500 0.7500 0.7500  4 Ag 3.18, 4 Cl 3.18


No. 5
Below is Sr2Ag2Cl7 after structural relaxation, with properties calculated at the PBE level.

Summary:
Its density of states at the Fermi level is 5.05 states/eV per cell. The space-group type is C2/m, No. 12. As for the offset from the most stable computed form: 0.000 eV per atom.

Lattice parameters (Å, degrees): 7.7013 6.9082 7.7013 93.94 66.01 86.06
With the nearest neighbours (Å) after each atom.
Fractional coordinates of all 11 atoms:
1 Sr 0.6828 0.5000 0.6828  6 Cl 2.88-2.97
2 Sr 0.3172 0.5000 0.3172  6 Cl 2.88-2.97
3 Ag 0.2608 0.1307 0.7392  4 Cl 2.47-2.71
4 Ag 0.7392 0.8693 0.2608  4 Cl 2.47-2.71
5 Cl 0.4151 0.2730 0.9554  1 Ag 2.59, 1 Sr 2.88
6 Cl 0.9554 0.7270 0.4151  1 Ag 2.59, 1 Sr 2.88
7 Cl 0.5849 0.7270 0.0446  1 Ag 2.59, 1 Sr 2.88
8 Cl 0.0446 0.2730 0.5849  1 Ag 2.59, 1 Sr 2.88
9 Cl 0.5603 0.2391 0.4397  2 Ag 2.71-2.79, 2 Sr 2.97
10 Cl 0.0000 0.0000 0.0000  2 Ag 2.47
11 Cl 0.4397 0.7609 0.5603  2 Ag 2.71-2.79, 2 Sr 2.97


No. 6
Below is Sr3Ag5Cl12 after structural relaxation, with properties calculated at the PBE level.

Summary:
Its density of states at the Fermi level is 59.75 states/eV per cell. The space-group type is Ia-3d, No. 230.

Lattice parameters (Å, degrees): 14.1894 14.1894 14.1894 109.47 109.47 109.47
With the nearest neighbours (Å) after each atom.
Fractional coordinates of all 80 atoms:
1 Sr 0.7500 0.3750 0.1250  8 Cl 3.09-3.10
2 Sr 0.8750 0.7500 0.1250  8 Cl 3.09-3.10
3 Sr 0.3750 0.7500 0.6250  8 Cl 3.09-3.10
4 Sr 0.2500 0.1250 0.3750  8 Cl 3.09-3.10
5 Sr 0.8750 0.1250 0.2500  8 Cl 3.09-3.10
6 Sr 0.3750 0.6250 0.2500  8 Cl 3.09-3.10
7 Sr 0.6250 0.3750 0.7500  8 Cl 3.09-3.10
8 Sr 0.1250 0.8750 0.7500  8 Cl 3.09-3.10
9 Sr 0.7500 0.8750 0.6250  8 Cl 3.09-3.10
10 Sr 0.6250 0.2500 0.3750  8 Cl 3.09-3.10
11 Sr 0.1250 0.2500 0.8750  8 Cl 3.09-3.10
12 Sr 0.2500 0.6250 0.8750  8 Cl 3.09-3.10
13 Ag 0.1250 0.3750 0.2500  4 Cl 2.56
14 Ag 0.0000 0.5000 0.0000  6 Cl 2.72
15 Ag 0.0000 0.0000 0.0000  6 Cl 2.72
16 Ag 0.3750 0.2500 0.1250  4 Cl 2.56
17 Ag 0.5000 0.0000 0.5000  6 Cl 2.72
18 Ag 0.5000 0.5000 0.0000  6 Cl 2.72
19 Ag 0.1250 0.7500 0.3750  4 Cl 2.56
20 Ag 0.7500 0.1250 0.8750  4 Cl 2.56
21 Ag 0.7500 0.6250 0.3750  4 Cl 2.56
22 Ag 0.3750 0.1250 0.7500  4 Cl 2.56
23 Ag 0.6250 0.8750 0.2500  4 Cl 2.56
24 Ag 0.5000 0.5000 0.5000  6 Cl 2.72
25 Ag 0.5000 0.0000 0.0000  6 Cl 2.72
26 Ag 0.0000 0.0000 0.5000  6 Cl 2.72
27 Ag 0.2500 0.3750 0.6250  4 Cl 2.56
28 Ag 0.2500 0.8750 0.1250  4 Cl 2.56
29 Ag 0.0000 0.5000 0.5000  6 Cl 2.72
30 Ag 0.8750 0.2500 0.6250  4 Cl 2.56
31 Ag 0.6250 0.7500 0.8750  4 Cl 2.56
32 Ag 0.8750 0.6250 0.7500  4 Cl 2.56
33 Cl 0.7159 0.1294 0.0420  2 Ag 2.56-2.72
34 Cl 0.3261 0.5420 0.4126  2 Ag 2.56-2.72
35 Cl 0.9580 0.3706 0.2841  2 Ag 2.56-2.72
36 Cl 0.5420 0.2159 0.1294  2 Ag 2.56-2.72
37 Cl 0.5865 0.7159 0.6739  2 Ag 2.56-2.72
38 Cl 0.9580 0.5874 0.1739  2 Ag 2.56-2.72
39 Cl 0.3261 0.7841 0.4135  2 Ag 2.56-2.72
40 Cl 0.0874 0.9135 0.1294  2 Ag 2.56-2.72
41 Cl 0.5874 0.9580 0.6739  2 Ag 2.56-2.72
42 Cl 0.7159 0.5865 0.1739  2 Ag 2.56-2.72
43 Cl 0.7841 0.4580 0.3706  2 Ag 2.56-2.72
44 Cl 0.8261 0.9126 0.0420  2 Ag 2.56-2.72
45 Cl 0.1294 0.7159 0.5420  2 Ag 2.56-2.72
46 Cl 0.3706 0.4126 0.0865  2 Ag 2.56-2.72
47 Cl 0.0865 0.9126 0.3706  2 Ag 2.56-2.72
48 Cl 0.4135 0.1294 0.5874  2 Ag 2.56-2.72
49 Cl 0.0865 0.1739 0.2159  2 Ag 2.56-2.72
50 Cl 0.4580 0.6739 0.0874  2 Ag 2.56-2.72
51 Cl 0.8261 0.9135 0.2841  2 Ag 2.56-2.72
52 Cl 0.1294 0.4135 0.0874  2 Ag 2.56-2.72
53 Cl 0.3706 0.9580 0.7841  2 Ag 2.56-2.72
54 Cl 0.5874 0.6294 0.4135  2 Ag 2.56-2.72
55 Cl 0.9126 0.8261 0.5420  2 Ag 2.56-2.72
56 Cl 0.7841 0.3261 0.9135  2 Ag 2.56-2.72
57 Cl 0.4126 0.3706 0.5865  2 Ag 2.56-2.72
58 Cl 0.0874 0.1739 0.4580  2 Ag 2.56-2.72
59 Cl 0.2159 0.6739 0.0865  2 Ag 2.56-2.72
60 Cl 0.1739 0.0865 0.7159  2 Ag 2.56-2.72
61 Cl 0.6294 0.0420 0.2159  2 Ag 2.56-2.72
62 Cl 0.8706 0.5865 0.9126  2 Ag 2.56-2.72
63 Cl 0.5420 0.3261 0.9126  2 Ag 2.56-2.72
64 Cl 0.5865 0.8706 0.4126  2 Ag 2.56-2.72
65 Cl 0.9135 0.8261 0.7841  2 Ag 2.56-2.72
66 Cl 0.9135 0.0874 0.6294  2 Ag 2.56-2.72
67 Cl 0.8706 0.2841 0.4580  2 Ag 2.56-2.72
68 Cl 0.1739 0.0874 0.9580  2 Ag 2.56-2.72
69 Cl 0.6294 0.5874 0.9135  2 Ag 2.56-2.72
70 Cl 0.4126 0.0420 0.3261  2 Ag 2.56-2.72
71 Cl 0.2841 0.4135 0.8261  2 Ag 2.56-2.72
72 Cl 0.2159 0.5420 0.6294  2 Ag 2.56-2.72
73 Cl 0.9126 0.0865 0.8706  2 Ag 2.56-2.72
74 Cl 0.6739 0.2159 0.5865  2 Ag 2.56-2.72
75 Cl 0.4580 0.7841 0.8706  2 Ag 2.56-2.72
76 Cl 0.0420 0.4126 0.8261  2 Ag 2.56-2.72
77 Cl 0.4135 0.2841 0.3261  2 Ag 2.56-2.72
78 Cl 0.0420 0.6294 0.7159  2 Ag 2.56-2.72
79 Cl 0.6739 0.4580 0.5874  2 Ag 2.56-2.72
80 Cl 0.2841 0.8706 0.9580  2 Ag 2.56-2.72


No. 7
Below is Sr2AgCl after structural relaxation, with properties calculated at the PBE level.

Summary:
Its density of states at the Fermi level is 0.64 states/eV per cell. The space-group type is R3m, No. 160. As for the offset from the most stable computed form: 0.026 eV per atom.

Lattice parameters (Å, degrees): 4.3593 4.3593 8.6646 75.43 75.43 60.00
With the nearest neighbours (Å) after each atom.
Fractional coordinates of all 4 atoms:
1 Sr 0.0786 0.0786 0.7642  3 Ag 3.15, 3 Cl 3.24
2 Sr 0.2582 0.2582 0.2255  3 Ag 3.17, 3 Cl 3.49
3 Ag 0.6691 0.6691 0.9928  6 Sr 3.15-3.17
4 Cl 0.4942 0.4942 0.5175  6 Sr 3.24-3.49


No. 8
Below is SrAgCl4 after structural relaxation, with properties calculated at the PBE level.

Summary:
Its density of states at the Fermi level is 3.07 states/eV per cell. The space-group type is I-4, No. 82. As for the offset from the most stable computed form: 0.019 eV per atom.

Lattice parameters (Å, degrees): 6.1381 6.1382 6.1380 110.51 110.51 107.42
With the nearest neighbours (Å) after each atom.
Fractional coordinates of all 6 atoms:
1 Sr 0.7500 0.2500 0.5000  8 Cl 3.06-3.07
2 Ag 0.5000 0.5000 0.0000  4 Cl 2.46
3 Cl 0.2514 0.2535 0.5034  1 Ag 2.46
4 Cl 0.7501 0.7479 0.4966  1 Ag 2.46
5 Cl 0.2520 0.7486 0.0021  1 Ag 2.46
6 Cl 0.7465 0.2500 0.9979  1 Ag 2.46


No. 9
Below is Sr3AgCl after structural relaxation, with properties calculated at the PBE level.

Summary:
Its density of states at the Fermi level is 5.41 states/eV per cell. The space-group type is Pm-3m, No. 221. As for the offset from the most stable computed form: 0.000 eV per atom.

Lattice parameters (Å, degrees): 5.7567 5.7567 5.7567 90.00 90.00 90.00
With the nearest neighbours (Å) after each atom.
Fractional coordinates of all 5 atoms:
1 Sr 0.0000 0.5000 0.0000  2 Cl 2.88
2 Sr 0.0000 0.0000 0.5000  2 Cl 2.88
3 Sr 0.5000 0.0000 0.0000  2 Cl 2.88
4 Ag 0.5000 0.5000 0.5000  12 Sr 4.07
5 Cl 0.0000 0.0000 0.0000  6 Sr 2.88


No. 10
Below is SrAgCl3 after structural relaxation, with properties calculated at the PBE level.

Summary:
Its density of states at the Fermi level is 0.00 states/eV per cell. The space-group type is Pm-3m, No. 221. As for the offset from the most stable computed form: 0.327 eV per atom.

Lattice parameters (Å, degrees): 5.1833 5.1833 5.1833 90.00 90.00 90.00
With the nearest neighbours (Å) after each atom.
Fractional coordinates of all 5 atoms:
1 Sr 0.5000 0.5000 0.5000  12 Cl 3.67
2 Ag 0.0000 0.0000 0.0000  6 Cl 2.59
3 Cl 0.0000 0.5000 0.0000  2 Ag 2.59
4 Cl 0.0000 0.0000 0.5000  2 Ag 2.59
5 Cl 0.5000 0.0000 0.0000  2 Ag 2.59


No. 11
Below is Sr2AgCl6 after structural relaxation, with properties calculated at the PBE level.

Summary:
Its density of states at the Fermi level is 1.91 states/eV per cell. The space-group type is P2_1/c, No. 14.

Lattice parameters (Å, degrees): 6.5873 8.0053 9.2420 90.00 90.40 90.00
With the nearest neighbours (Å) after each atom.
Fractional coordinates of all 18 atoms:
1 Sr 0.9578 0.3808 0.7383  8 Cl 2.96-3.28
2 Sr 0.5422 0.8808 0.7617  8 Cl 2.96-3.28
3 Sr 0.4578 0.1192 0.2383  8 Cl 2.96-3.28
4 Sr 0.0422 0.6192 0.2617  8 Cl 2.96-3.28
5 Ag 0.5000 0.5000 0.0000  4 Cl 2.48-2.53
6 Ag 0.0000 0.0000 0.5000  4 Cl 2.48-2.53
7 Cl 0.8745 0.9651 0.2485  1 Ag 2.48
8 Cl 0.8296 0.6700 0.5609  1 Ag 2.93, 3 Sr 2.96-3.15
9 Cl 0.8241 0.6554 0.9432  1 Ag 2.53
10 Cl 0.6759 0.1554 0.5568  1 Ag 2.53
11 Cl 0.6704 0.1700 0.9391  1 Ag 2.93, 3 Sr 2.96-3.15
12 Cl 0.6255 0.4651 0.2515  1 Ag 2.48
13 Cl 0.1255 0.0349 0.7515  1 Ag 2.48
14 Cl 0.1704 0.3300 0.4391  1 Ag 2.93, 3 Sr 2.96-3.15
15 Cl 0.1759 0.3446 0.0568  1 Ag 2.53
16 Cl 0.3241 0.8446 0.4432  1 Ag 2.53
17 Cl 0.3296 0.8300 0.0609  1 Ag 2.93, 3 Sr 2.96-3.15
18 Cl 0.3745 0.5349 0.7485  1 Ag 2.48


No. 12
Below is Sr2AgCl after structural relaxation, with properties calculated at the PBE level.

Summary:
Its density of states at the Fermi level is 1.03 states/eV per cell. The space-group type is F-43m, No. 216. As for the offset from the most stable computed form: 0.721 eV per atom.

Lattice parameters (Å, degrees): 5.7354 5.7354 5.7354 60.00 60.00 60.00
With the nearest neighbours (Å) after each atom.
Fractional coordinates of all 4 atoms:
1 Ag 0.5000 0.5000 0.5000  4 Sr 3.51, 4 Cl 3.51
2 Cl 0.7500 0.7500 0.7500  4 Sr 3.51, 4 Ag 3.51
3 Sr 0.0000 0.0000 0.0000  4 Cl 3.51, 4 Sr 3.51
4 Sr 0.2500 0.2500 0.2500  4 Sr 3.51, 4 Ag 3.51


| no. | formation energy from raw total energies (eV per formula unit) | total moment (μB per cell) |
| --- | --- | --- |
| 1 | -11.7 | 0.00 |
| 2 | -15.1 | 0.00 |
| 3 | -3.8 | 0.09 |
| 4 | -2.9 | 0.00 |
| 5 | -16.3 | 0.51 |
| 6 | -26.5 | 0.00 |
| 7 | -3.8 | 0.00 |
| 8 | -8.1 | 0.00 |
| 9 | -2.3 | 0.53 |
| 10 | -6.5 | 0.00 |
| 11 | -15.7 | 2.11 |
| 12 | -1.0 | 0.00 |